(1)
A relaxed Rb2Pm2VS6 crystal. Source: Alexandria, functional PBE.

a b c (Å): 6.7973 6.7973 8.1821
angles (deg): 98.50 98.50 119.12
Last column: nearest neighbours and their distance in Å.
Sites, in units of the cell vectors:
Rb1 0.8275 0.1725 0.0000  6 S 3.31-3.47
Rb2 0.1725 0.8275 0.0000  6 S 3.31-3.47
Pm1 0.3333 0.6667 0.5000  6 S 2.80-2.82
Pm2 0.6667 0.3333 0.5000  6 S 2.80-2.82
V1 0.0000 0.0000 0.5000  6 S 2.45-2.47
S1 0.7720 0.7720 0.6813  1 V 2.45
S2 0.0644 0.3602 0.6837  1 V 2.47
S3 0.2280 0.2280 0.3187  1 V 2.45
S4 0.3602 0.0644 0.6837  1 V 2.47
S5 0.9356 0.6398 0.3163  1 V 2.47
S6 0.6398 0.9356 0.3163  1 V 2.47

Properties
* total magnetization: 0.09 μB per atom
* N(E_F): 0.62 states/eV/atom
* E: -0.410 Ry per atom
* formation energy without anion corrections: -15.995 eV/f.u.
* mass density: 3702 kg/m³


(2)
A relaxed RbPmY4S8 crystal. Source: Alexandria, functional PBE.

a b c (Å): 8.2783 8.2783 8.3701
angles (deg): 60.36 60.36 60.00
Last column: nearest neighbours and their distance in Å.
Sites, in units of the cell vectors:
Rb1 0.3718 0.3718 0.8845  4 S 2.92-2.94
Pm1 0.0048 0.0048 0.9855  6 S 2.73-2.96
Y1 0.6253 0.6253 0.1241  4 S 2.67-2.72
Y2 0.0043 0.4870 0.5045  6 S 2.66-2.91
Y3 0.4870 0.0043 0.5045  6 S 2.66-2.91
Y4 0.0043 0.0043 0.5045  6 S 2.66-2.91
S1 0.2357 0.8047 0.7239  2 Y 2.66, 1 Pm 2.73, 1 Rb 2.94
S2 0.8047 0.2357 0.7239  2 Y 2.66, 1 Pm 2.73, 1 Rb 2.94
S3 0.2357 0.2357 0.7239  2 Y 2.66, 1 Pm 2.73, 1 Rb 2.94
S4 0.2301 0.2301 0.3097  3 Y 2.67, 1 Rb 2.92
S5 0.7545 0.2304 0.2607  3 Y 2.67-2.91, 1 Pm 2.96
S6 0.2304 0.7545 0.2607  3 Y 2.67-2.91, 1 Pm 2.96
S7 0.7545 0.7545 0.2607  3 Y 2.67-2.91, 1 Pm 2.96
S8 0.7570 0.7570 0.7290  4 Y 2.72-2.91

Properties
* total magnetization: 0.00 μB per atom
* N(E_F): 0.00 states/eV/atom
* E: -0.479 Ry per atom
* formation energy without anion corrections: -26.632 eV/f.u.
* mass density: 3431 kg/m³


(3)
A relaxed Rb3Pm3YS8 crystal. Source: Alexandria, functional PBE.

a b c (Å): 8.2746 8.2786 9.1751
angles (deg): 116.86 90.00 119.98
Last column: nearest neighbours and their distance in Å.
Sites, in units of the cell vectors:
Rb1 0.0000 0.0000 0.0000  6 S 3.37-3.39
Rb2 0.0000 0.5000 0.0000  6 S 3.37-3.39
Rb3 0.5000 0.5000 0.0000  6 S 3.37-3.39
Pm1 0.5000 0.0000 0.5000  6 S 2.83-2.84
Pm2 0.5000 0.5000 0.5000  6 S 2.83-2.84
Pm3 0.0000 0.5000 0.5000  6 S 2.83-2.84
Y1 0.0000 0.0000 0.5000  6 S 2.77
S1 0.2680 0.5360 0.3042  3 Pm 2.84
S2 0.7320 0.4640 0.6958  3 Pm 2.84
S3 0.7739 0.5479 0.3109  1 Y 2.77, 2 Pm 2.83
S4 0.2261 0.4521 0.6891  1 Y 2.77, 2 Pm 2.83
S5 0.7739 0.0368 0.3109  1 Y 2.77, 2 Pm 2.83
S6 0.2261 0.9632 0.6891  1 Y 2.77, 2 Pm 2.83
S7 0.2628 0.0368 0.3109  1 Y 2.77, 2 Pm 2.83
S8 0.7372 0.9632 0.6891  1 Y 2.77, 2 Pm 2.83

Properties
* total magnetization: 0.00 μB per atom
* N(E_F): 0.88 states/eV/atom
* E: -0.406 Ry per atom
* formation energy without anion corrections: -26.249 eV/f.u.
* mass density: 3707 kg/m³


(4)
A relaxed Rb2PmYS4 crystal. Source: Alexandria, functional PBE.

a b c (Å): 4.1394 7.1701 8.0649
angles (deg): 107.21 90.00 90.00
Last column: nearest neighbours and their distance in Å.
Sites, in units of the cell vectors:
Rb1 0.5000 0.0000 0.5000  6 S 3.33-3.34
Rb2 0.0000 0.5000 0.5000  6 S 3.38
Pm1 0.5000 0.5000 0.0000  6 S 2.84-2.85
Y1 0.0000 0.0000 0.0000  6 S 2.79-2.80
S1 0.5000 0.2256 0.1931  2 Y 2.80, 1 Pm 2.85
S2 0.5000 0.7744 0.8069  2 Y 2.80, 1 Pm 2.85
S3 0.0000 0.2628 0.8047  1 Y 2.79, 2 Pm 2.84
S4 0.0000 0.7372 0.1953  1 Y 2.79, 2 Pm 2.84

Properties
* total magnetization: 0.00 μB per atom
* N(E_F): 0.00 states/eV/atom
* E: -0.408 Ry per atom
* formation energy without anion corrections: -14.757 eV/f.u.
* mass density: 3872 kg/m³


(5)
A relaxed Rb2PmZrS4 crystal. Source: Alexandria, functional PBE.

a b c (Å): 3.9709 6.9450 8.0546
angles (deg): 106.34 90.00 90.00
Last column: nearest neighbours and their distance in Å.
Sites, in units of the cell vectors:
Rb1 0.5000 0.0000 0.5000  6 S 3.37-3.38
Rb2 0.0000 0.5000 0.5000  6 S 3.24
Pm1 0.0000 0.0000 0.0000  6 S 2.82-2.83
Zr1 0.5000 0.5000 0.0000  6 S 2.65-2.69
S1 0.5000 0.2510 0.1969  1 Zr 2.65, 2 Pm 2.82
S2 0.5000 0.7490 0.8031  1 Zr 2.65, 2 Pm 2.82
S3 0.0000 0.2866 0.8096  2 Zr 2.69, 1 Pm 2.83
S4 0.0000 0.7134 0.1904  2 Zr 2.69, 1 Pm 2.83

Properties
* total magnetization: 0.00 μB per atom
* N(E_F): 0.41 states/eV/atom
* E: -0.410 Ry per atom
* formation energy without anion corrections: -12.868 eV/f.u.
* mass density: 4171 kg/m³


(6)
A relaxed Rb3Pm3ZrS8 crystal. Source: Alexandria, functional PBE.

a b c (Å): 8.1541 8.1559 9.1573
angles (deg): 116.48 90.00 119.99
Last column: nearest neighbours and their distance in Å.
Sites, in units of the cell vectors:
Rb1 0.0000 0.0000 0.0000  6 S 3.35-3.36
Rb2 0.0000 0.5000 0.0000  6 S 3.35-3.36
Rb3 0.5000 0.5000 0.0000  6 S 3.35-3.36
Pm1 0.5000 0.0000 0.5000  6 S 2.81-2.84
Pm2 0.5000 0.5000 0.5000  6 S 2.81-2.84
Pm3 0.0000 0.5000 0.5000  6 S 2.81-2.84
Zr1 0.0000 0.0000 0.5000  6 S 2.63
S1 0.2679 0.5357 0.3038  3 Pm 2.81
S2 0.7321 0.4643 0.6962  3 Pm 2.81
S3 0.7831 0.5662 0.3146  1 Zr 2.63, 2 Pm 2.84
S4 0.2169 0.4338 0.6854  1 Zr 2.63, 2 Pm 2.84
S5 0.7831 0.0313 0.3146  1 Zr 2.63, 2 Pm 2.84
S6 0.2169 0.9687 0.6854  1 Zr 2.63, 2 Pm 2.84
S7 0.2481 0.0313 0.3146  1 Zr 2.63, 2 Pm 2.84
S8 0.7519 0.9687 0.6854  1 Zr 2.63, 2 Pm 2.84

Properties
* total magnetization: 0.00 μB per atom
* N(E_F): 0.00 states/eV/atom
* E: -0.419 Ry per atom
* formation energy without anion corrections: -26.737 eV/f.u.
* mass density: 3816 kg/m³


(7)
A relaxed Rb3Pm2ZrS6 crystal. Source: Alexandria, functional PBE.

a b c (Å): 7.0231 7.0231 8.0734
angles (deg): 98.36 98.36 120.00
Last column: nearest neighbours and their distance in Å.
Sites, in units of the cell vectors:
Rb1 0.1700 0.8300 0.5000  6 S 3.28-3.40
Rb2 0.8300 0.1700 0.5000  6 S 3.28-3.40
Rb3 0.5000 0.5000 0.5000  6 S 3.28-3.42
Pm1 0.3336 0.6664 0.0000  6 S 2.84-2.85
Pm2 0.6664 0.3336 0.0000  6 S 2.84-2.85
Zr1 0.0000 0.0000 0.0000  6 S 2.66-2.67
S1 0.9351 0.6218 0.8057  1 Zr 2.66, 2 Pm 2.84-2.85
S2 0.7522 0.7522 0.1954  1 Zr 2.67, 2 Pm 2.85
S3 0.0649 0.3782 0.1943  1 Zr 2.66, 2 Pm 2.84-2.85
S4 0.6218 0.9351 0.8057  1 Zr 2.66, 2 Pm 2.84-2.85
S5 0.2478 0.2478 0.8046  1 Zr 2.67, 2 Pm 2.85
S6 0.3782 0.0649 0.1943  1 Zr 2.66, 2 Pm 2.84-2.85

Properties
* total magnetization: 0.00 μB per atom
* N(E_F): 0.37 states/eV/atom
* E: -0.403 Ry per atom
* formation energy without anion corrections: -20.127 eV/f.u.
* mass density: 4177 kg/m³


(8)
A relaxed Rb2Pm2ZrS6 crystal. Source: Alexandria, functional PBE.

a b c (Å): 6.9512 6.9512 8.2223
angles (deg): 98.37 98.37 119.46
Last column: nearest neighbours and their distance in Å.
Sites, in units of the cell vectors:
Rb1 0.8299 0.1701 0.0000  6 S 3.34-3.45
Rb2 0.1701 0.8299 0.0000  6 S 3.34-3.45
Pm1 0.3336 0.6664 0.5000  6 S 2.82-2.83
Pm2 0.6664 0.3336 0.5000  6 S 2.82-2.83
Zr1 0.0000 0.0000 0.5000  6 S 2.61-2.62
S1 0.7558 0.7558 0.6868  1 Zr 2.61, 2 Pm 2.82
S2 0.0634 0.3752 0.6878  1 Zr 2.62, 2 Pm 2.82-2.83
S3 0.2442 0.2442 0.3132  1 Zr 2.61, 2 Pm 2.82
S4 0.3752 0.0634 0.6878  1 Zr 2.62, 2 Pm 2.82-2.83
S5 0.9366 0.6248 0.3122  1 Zr 2.62, 2 Pm 2.82-2.83
S6 0.6248 0.9366 0.3122  1 Zr 2.62, 2 Pm 2.82-2.83

Properties
* total magnetization: 0.00 μB per atom
* N(E_F): 0.00 states/eV/atom
* E: -0.429 Ry per atom
* formation energy without anion corrections: -19.395 eV/f.u.
* mass density: 3733 kg/m³


(9)
A relaxed RbPmSb2 crystal. Source: Alexandria, functional PBE.

a b c (Å): 4.2415 4.2415 7.8641
angles (deg): 90.00 90.00 90.00
Last column: nearest neighbours and their distance in Å.
Sites, in units of the cell vectors:
Sb1 0.0000 0.0000 0.8147  1 Sb 2.92
Sb2 0.0000 0.0000 0.1853  1 Sb 2.92
Rb1 0.5000 0.5000 0.5000  8 Sb 3.89, 2 Pm 3.93, 4 Rb 4.24
Pm1 0.5000 0.5000 0.0000  8 Sb 3.33

Properties
* total magnetization: 0.00 μB per atom
* N(E_F): 0.53 states/eV/atom
* E: -0.306 Ry per atom
* formation energy without anion corrections: -2.692 eV/f.u.
* mass density: 5563 kg/m³


(10)
A relaxed RbPmSb2 crystal. Source: Alexandria, functional PBE.

a b c (Å): 4.5627 4.5627 9.2017
angles (deg): 75.65 75.65 60.00
Last column: nearest neighbours and their distance in Å.
Sites, in units of the cell vectors:
Sb1 0.2678 0.2678 0.1967  3 Pm 3.15
Sb2 0.7322 0.7322 0.8033  3 Pm 3.15
Rb1 0.5000 0.5000 0.5000  6 Sb 3.75
Pm1 0.0000 0.0000 0.0000  6 Sb 3.15

Properties
* total magnetization: 0.00 μB per atom
* N(E_F): 0.63 states/eV/atom
* E: -0.292 Ry per atom
* formation energy without anion corrections: -1.953 eV/f.u.
* mass density: 4952 kg/m³


(11)
A relaxed RbPmSb2 crystal. Source: Alexandria, functional PBE.

a b c (Å): 4.4626 5.3678 5.3678
angles (deg): 90.00 90.00 90.00
Last column: nearest neighbours and their distance in Å.
Sites, in units of the cell vectors:
Sb1 0.0000 0.0000 0.5000  4 Pm 3.49, 4 Rb 3.49, 4 Sb 3.80
Sb2 0.0000 0.5000 0.0000  4 Pm 3.49, 4 Rb 3.49, 4 Sb 3.80
Rb1 0.5000 0.5000 0.5000  8 Sb 3.49, 4 Pm 3.80
Pm1 0.5000 0.0000 0.0000  8 Sb 3.49, 4 Rb 3.80

Properties
* total magnetization: 0.00 μB per atom
* N(E_F): 0.62 states/eV/atom
* E: -0.284 Ry per atom
* formation energy without anion corrections: -1.491 eV/f.u.
* mass density: 6121 kg/m³


(12)
A relaxed RbPmSb2 crystal. Source: Alexandria, functional PBE.

a b c (Å): 5.7020 5.7020 5.7020
angles (deg): 60.00 60.00 60.00
Last column: nearest neighbours and their distance in Å.
Sites, in units of the cell vectors:
Sb1 0.2500 0.2500 0.2500  4 Rb 3.49, 4 Pm 3.49
Sb2 0.7500 0.7500 0.7500  4 Pm 3.49, 4 Rb 3.49
Rb1 0.5000 0.5000 0.5000  8 Sb 3.49
Pm1 0.0000 0.0000 0.0000  8 Sb 3.49

Properties
* total magnetization: 0.00 μB per atom
* N(E_F): 1.69 states/eV/atom
* E: -0.282 Ry per atom
* formation energy without anion corrections: -1.375 eV/f.u.
* mass density: 6004 kg/m³


- The highest total magnetization belongs to which entry?
  Rb2Pm2VS6


- Which of these has the highest total magnetization?
  Rb2Pm2VS6


- Which formula does entry 10 have?
  RbPmSb2


- What is the E in the fifth record?
  -0.410 Ry per atom